[1]
A plane-wave DFT calculation with GGA-PBE was carried out for a relaxed Nd7Sm2Ho crystal.

a = 9.576 Å, b = 9.576 Å, c = 5.522 Å
α = 90.00°, β = 90.00°, γ = 125.33°
Element x y z (fractional)
Nd: 0.000 0.000 0.000
Nd: 0.210 0.430 0.000
Nd: 0.288 0.712 0.500
Nd: 0.430 0.210 0.000
Nd: 0.570 0.790 0.000
Nd: 0.712 0.288 0.500
Nd: 0.790 0.570 0.000
Sm: 0.205 0.795 0.000
Sm: 0.795 0.205 0.000
Ho: 0.500 0.500 0.500

=====

[2]
A plane-wave DFT calculation with GGA-PBE was carried out for a relaxed Nd2Sm5Ho4 crystal.

a = 11.950 Å, b = 11.950 Å, c = 8.823 Å
α = 104.24°, β = 104.24°, γ = 17.32°
Element x y z (fractional)
Nd: 0.090 0.090 0.224
Nd: 0.910 0.910 0.776
Sm: 0.000 0.000 0.500
Sm: 0.273 0.273 0.686
Sm: 0.363 0.363 0.407
Sm: 0.637 0.637 0.593
Sm: 0.727 0.727 0.314
Ho: 0.182 0.182 0.954
Ho: 0.453 0.453 0.136
Ho: 0.547 0.547 0.864
Ho: 0.818 0.818 0.046

Output
- energy relative to the lowest polymorph listed for this composition (eV/atom) = 0.000

=====

[3]
A plane-wave DFT calculation with GGA-PBE was carried out for a relaxed NdSmHo3 crystal.

a = 8.594 Å, b = 8.594 Å, c = 11.616 Å
α = 90.00°, β = 90.00°, γ = 155.59°
Element x y z (fractional)
Nd: 0.189 0.811 0.750
Nd: 0.811 0.189 0.250
Sm: 0.485 0.515 0.250
Sm: 0.515 0.485 0.750
Ho: 0.149 0.851 0.250
Ho: 0.343 0.657 0.502
Ho: 0.343 0.657 0.998
Ho: 0.657 0.343 0.002
Ho: 0.657 0.343 0.498
Ho: 0.851 0.149 0.750

Output
- energy relative to the lowest polymorph listed for this composition (eV/atom) = 0.137

=====

[4]
A plane-wave DFT calculation with GGA-PBE was carried out for a relaxed Nd8Sm6Ho crystal.

a = 9.522 Å, b = 9.522 Å, c = 6.685 Å
α = 90.00°, β = 90.00°, γ = 120.00°
Element x y z (fractional)
Nd: 0.031 0.283 0.336
Nd: 0.252 0.969 0.336
Nd: 0.283 0.252 0.664
Nd: 0.333 0.667 0.386
Nd: 0.667 0.333 0.614
Nd: 0.717 0.748 0.336
Nd: 0.748 0.031 0.664
Nd: 0.969 0.717 0.664
Sm: 0.087 0.433 0.842
Sm: 0.345 0.913 0.842
Sm: 0.433 0.345 0.158
Sm: 0.567 0.655 0.842
Sm: 0.655 0.087 0.158
Sm: 0.913 0.567 0.158
Ho: 0.000 0.000 0.000

Output
- energy relative to the lowest polymorph listed for this composition (eV/atom) = 0.050

=====

[5]
A plane-wave DFT calculation with GGA-PBE was carried out for a relaxed Nd4SmHo2 crystal.

a = 12.615 Å, b = 6.847 Å, c = 13.599 Å
α = 67.03°, β = 29.98°, γ = 82.99°
Element x y z (fractional)
Nd: 0.144 0.301 0.069
Nd: 0.181 0.763 0.106
Nd: 0.301 0.144 0.487
Nd: 0.379 0.621 0.479
Nd: 0.621 0.379 0.521
Nd: 0.729 0.771 0.629
Nd: 0.763 0.181 0.949
Nd: 0.771 0.729 0.871
Sm: 0.009 0.009 0.991
Sm: 0.259 0.259 0.241
Ho: 0.208 0.691 0.360
Ho: 0.509 0.890 0.559
Ho: 0.691 0.208 0.741
Ho: 0.890 0.509 0.042

Output
- energy relative to the lowest polymorph listed for this composition (eV/atom) = 0.000

=====

[6]
A plane-wave DFT calculation with GGA-PBE was carried out for a relaxed NdSmHoSn crystal.

a = 5.500 Å, b = 5.500 Å, c = 5.500 Å
α = 60.00°, β = 60.00°, γ = 60.00°
Element x y z (fractional)
Nd: 0.000 0.000 0.000
Sm: 0.500 0.500 0.500
Ho: 0.250 0.250 0.250
Sn: 0.750 0.750 0.750

=====

In order of appearance, calculated formation energy = 0.63; 0.02; 0.32; 0.16; 0.06; -0.26 eV/atom.